The following is a DFT calculation (PBE) of crystalline Ba3TeMo at its relaxed geometry.

Lattice parameters (Å, degrees): 5.8115 5.8115 5.8115 90.00 90.00 90.00
With the nearest neighbours (Å) after each atom.
Fractional coordinates of all 5 atoms:
Ba1 0.0000 0.0000 0.5000  2 Mo 2.91
Ba2 0.0000 0.5000 0.0000  2 Mo 2.91
Ba3 0.5000 0.0000 0.0000  2 Mo 2.91
Te1 0.5000 0.5000 0.5000  12 Ba 4.11
Mo1 0.0000 0.0000 0.0000  6 Ba 2.91

Summary:
M_tot   0.00 μB per formula unit
Distance to the lowest polymorph of the same formula   0.000 eV/atom
Formation energy without anion corrections   0.53 eV per formula unit
Volume   39.256 Å³/atom